# 1
Density functional theory data (GGA-PBE) for crystalline NdDyAgPd at its relaxed geometry.

Output
Space group = No. 38
Total moment = 0.0 Bohr magnetons per cell
Calculated volume = 99.1 Å³ per cell
Excess energy over the best structure of this formula in the dataset = 0.0 meV/atom

Unit cell a=4.773 b=5.760 c=5.760 alpha=38.76 beta=90.00 gamma=90.00
Positions (direct):
Nd 0.000 0.000 0.000
Dy 0.500 0.279 0.279
Ag 0.500 0.562 0.562
Pd 0.000 0.726 0.726



# 2
Density functional theory data (GGA-PBE) for crystalline NdDyAgPd at its relaxed geometry.

Output
Space group = No. 216
Total moment = 0.0 Bohr magnetons per cell
Calculated volume = 95.8 Å³ per cell
Excess energy over the best structure of this formula in the dataset = 15.3 meV/atom

Unit cell a=5.136 b=5.136 c=5.136 alpha=60.00 beta=60.00 gamma=60.00
Positions (direct):
Nd 0.000 0.000 0.000
Dy 0.500 0.500 0.500
Ag 0.750 0.750 0.750
Pd 0.250 0.250 0.250



# 3
Density functional theory data (GGA-PBE) for crystalline PmNdDyAg at its relaxed geometry.

Output
Space group = No. 216
Total moment = 0.0 Bohr magnetons per cell
Calculated volume = 116.1 Å³ per cell
Excess energy over the best structure of this formula in the dataset = 224.3 meV/atom

Unit cell a=5.476 b=5.476 c=5.476 alpha=60.00 beta=60.00 gamma=60.00
Positions (direct):
Pm 0.000 0.000 0.000
Nd 0.750 0.750 0.750
Dy 0.250 0.250 0.250
Ag 0.500 0.500 0.500